CoH14C3NCl3O2: relaxed, GGA+U.

- Magnetic moment: 2.98 μB per formula unit
- Final energy: -4.88 eV per atom
- Fermi-level density of states: 0.00 states/eV per cell

Lattice parameters (Å, degrees): 16.994 7.358 8.173 90.00 90.00 90.00
Space group Pnma (No. 62)
One atom of each set of equivalent atoms:
Co (0.000, 0.000, 0.000) (multiplicity 4)
H (0.016, 0.099, 0.318) (multiplicity 8)
H (0.039, 0.073, 0.683) (multiplicity 8)
H (0.127, 0.750, 0.749) (multiplicity 4)
H (0.135, 0.628, 0.478) (multiplicity 8)
H (0.191, 0.036, 0.705) (multiplicity 8)
H (0.217, 0.085, 0.193) (multiplicity 8)
H (0.226, 0.750, 0.451) (multiplicity 4)
H (0.227, 0.585, 0.880) (multiplicity 8)
C (0.168, 0.750, 0.511) (multiplicity 4)
C (0.224, 0.583, 0.746) (multiplicity 8)
N (0.181, 0.750, 0.692) (multiplicity 4)
Cl (0.084, 0.250, 0.496) (multiplicity 4)
Cl (0.095, 0.750, 0.062) (multiplicity 4)
Cl (0.097, 0.250, 0.007) (multiplicity 4)
O (0.024, 0.536, 0.748) (multiplicity 8)